[1]
# Ca4CoBi2 | Alexandria via LeMat-Bulk | PBE-GGA | optimized geometry
data_Ca4CoBi2
_cell_length_a 5.1233
_cell_length_b 5.1233
_cell_length_c 9.1853
_cell_angle_alpha 73.81
_cell_angle_beta 73.81
_cell_angle_gamma 90.00
_space_group_name_H-M_alt 'P 1'
_space_group_IT_number 1
loop_
_space_group_symop_operation_xyz
'x,y,z'
loop_
_atom_site_label
_atom_site_type_symbol
_atom_site_fract_x
_atom_site_fract_y
_atom_site_fract_z
Ca1 Ca 0.8263 0.8263 0.3474
Ca2 Ca 0.1737 0.1737 0.6526
Ca3 Ca 0.0000 0.5000 0.0000
Ca4 Ca 0.5000 0.0000 0.0000
Co1 Co 0.0000 0.0000 0.0000
Bi1 Bi 0.6350 0.6350 0.7300
Bi2 Bi 0.3650 0.3650 0.2700
# DOS at the Fermi energy (states/eV/cell): 5.91
# Space-group type: No. 139
# Crystal system: tetragonal
# Energy of formation from the pure elements (eV/atom): -0.33
# DFT total energy (eV for the cell shown): -25.2

=====

[2]
# LiNdBeSi2 | Alexandria via LeMat-Bulk | PBE-GGA | optimized geometry
data_LiNdBeSi2
_cell_length_a 4.0876
_cell_length_b 4.0876
_cell_length_c 5.7420
_cell_angle_alpha 110.85
_cell_angle_beta 110.85
_cell_angle_gamma 90.00
_space_group_name_H-M_alt 'P 1'
_space_group_IT_number 1
loop_
_space_group_symop_operation_xyz
'x,y,z'
loop_
_atom_site_label
_atom_site_type_symbol
_atom_site_fract_x
_atom_site_fract_y
_atom_site_fract_z
Li1 Li 0.2500 0.7500 0.5000
Nd1 Nd 0.0000 0.0000 0.0000
Be1 Be 0.7500 0.2500 0.5000
Si1 Si 0.6200 0.6200 0.2400
Si2 Si 0.3800 0.3800 0.7600
# DOS at the Fermi energy (states/eV/cell): 1.39
# Formation energy without anion corrections (eV per atom): -0.4212
# Space-group type: No. 119
# Crystal system: tetragonal
# DFT total energy (eV for the cell shown): -23.4

=====

[3]
# Ba2InTe4 | Alexandria via LeMat-Bulk | PBE-GGA | optimized geometry
data_Ba2InTe4
_cell_length_a 8.4432
_cell_length_b 6.8232
_cell_length_c 10.0458
_cell_angle_alpha 90.00
_cell_angle_beta 107.41
_cell_angle_gamma 90.00
_space_group_name_H-M_alt 'P 1'
_space_group_IT_number 1
loop_
_space_group_symop_operation_xyz
'x,y,z'
loop_
_atom_site_label
_atom_site_type_symbol
_atom_site_fract_x
_atom_site_fract_y
_atom_site_fract_z
Ba1 Ba 0.7504 0.7500 0.0650
Ba2 Ba 0.2496 0.2500 0.9350
Ba3 Ba 0.2407 0.2500 0.4373
Ba4 Ba 0.7593 0.7500 0.5627
In1 In 0.2329 0.7500 0.1832
In2 In 0.7671 0.2500 0.8168
Te1 Te 0.5095 0.4853 0.2565
Te2 Te 0.0781 0.7500 0.8982
Te3 Te 0.9219 0.2500 0.1018
Te4 Te 0.5095 0.0147 0.2565
Te5 Te 0.9235 0.2500 0.6098
Te6 Te 0.4905 0.9853 0.7435
Te7 Te 0.4905 0.5147 0.7435
Te8 Te 0.0765 0.7500 0.3902
# DOS at the Fermi energy (states/eV/cell): 3.54
# Formation energy without anion corrections (eV per atom): -1.1146
# Space-group type: No. 11
# Crystal system: monoclinic
# DFT total energy (eV for the cell shown): -53.9
# Relative energy among the computed polymorphs (meV per atom): 0

=====

[4]
# Li2TmGeTe4 | Alexandria via LeMat-Bulk | PBE-GGA | optimized geometry
data_Li2TmGeTe4
_cell_length_a 4.1411
_cell_length_b 7.4707
_cell_length_c 7.3706
_cell_angle_alpha 108.78
_cell_angle_beta 90.00
_cell_angle_gamma 90.00
_space_group_name_H-M_alt 'P 1'
_space_group_IT_number 1
loop_
_space_group_symop_operation_xyz
'x,y,z'
loop_
_atom_site_label
_atom_site_type_symbol
_atom_site_fract_x
_atom_site_fract_y
_atom_site_fract_z
Li1 Li 0.5000 0.0000 0.5000
Li2 Li 0.0000 0.5000 0.5000
Tm1 Tm 0.5000 0.5000 0.0000
Ge1 Ge 0.0000 0.0000 0.0000
Te1 Te 0.5000 0.2416 0.2464
Te2 Te 0.5000 0.7584 0.7536
Te3 Te 0.0000 0.2425 0.7483
Te4 Te 0.0000 0.7575 0.2517
# DOS at the Fermi energy (states/eV/cell): 4.17
# Formation energy without anion corrections (eV per atom): -0.7883
# Space-group type: No. 10
# Crystal system: monoclinic
# DFT total energy (eV for the cell shown): -31.8